The following is a PBE calculation of an optimized crystal structure of Ce7Co2Bi3, from Alexandria.

Unit cell a=4.851 b=5.108 c=13.763 alpha=100.69 beta=90.00 gamma=90.00
Site moments in Bohr magnetons follow the coordinates.
Fractional positions:
Ce 0.000 0.209 0.417  1.05
Ce 0.500 0.101 0.203  0.45
Ce 0.500 0.899 0.797  0.45
Ce 0.000 0.399 0.797  0.53
Ce 0.000 0.791 0.583  1.05
Ce 0.000 0.000 0.000  0.80
Bi 0.500 0.309 0.618  -0.04
Co 0.000 0.897 0.794  -0.09
Co 0.000 0.103 0.206  -0.09
Bi 0.500 0.691 0.382  -0.04
Ce 0.000 0.601 0.203  0.53
Bi 0.500 0.500 0.000  -0.03

Output
* calculated formation energy: -0.456 eV/atom

The following is a PBE calculation of an optimized crystal structure of Ce2CoBi, from Alexandria.

Unit cell a=3.960 b=6.396 c=8.586 alpha=109.62 beta=90.00 gamma=90.00
Site moments in Bohr magnetons follow the coordinates.
Fractional positions:
Ce 0.250 0.349 0.121  0.49
Co 0.750 0.616 0.299  -0.23
Bi 0.250 0.880 0.200  -0.03
Co 0.250 0.384 0.701  -0.23
Ce 0.750 0.651 0.879  0.49
Ce 0.250 0.745 0.537  0.53
Ce 0.750 0.255 0.463  0.53
Bi 0.750 0.120 0.800  -0.03

Output
* calculated formation energy: -0.400 eV/atom

The V results, record by record, are as follows: 335 205 Å³/cell.
The E results, record by record, are as follows: -6.07 -6.11 eV/atom.